No. 1
VASP calculation (PBE) on a geometry-optimized Pm4NiPt structure.

Output
The energy of formation from the pure elements is -0.437 eV per atom. Its symmetry is No. 6.

Cell: 6.2044 4.2531 7.3869 Å, 90.00 113.16 90.00°
Positions (direct):
Pm1 0.0000 0.0000 0.0000
Pm2 0.0025 0.5000 0.4800
Pm3 0.4969 0.5000 0.9994
Pm4 0.4999 0.0000 0.4805
Ni1 0.2506 0.5000 0.2400
Pt1 0.2493 0.0000 0.7398



No. 2
VASP calculation (PBE) on a geometry-optimized PmNiPt4 structure.

Output
The energy of formation from the pure elements is -0.529 eV per atom. Its symmetry is No. 51. For the energy above the most stable polymorph in this dataset, the calculation gives 0 meV per atom.

Cell: 7.5257 4.0822 6.8130 Å, 90.00 90.00 90.00°
Positions (direct):
Pm1 0.2500 0.0000 0.1331
Pm2 0.7500 0.0000 0.8669
Ni1 0.2500 0.0000 0.7348
Ni2 0.7500 0.0000 0.2652
Pt1 0.0000 0.0000 0.5000
Pt2 0.0533 0.5000 0.8090
Pt3 0.2500 0.5000 0.4644
Pt4 0.4467 0.5000 0.8090
Pt5 0.5000 0.0000 0.5000
Pt6 0.5533 0.5000 0.1910
Pt7 0.7500 0.5000 0.5356
Pt8 0.9467 0.5000 0.1910



No. 3
VASP calculation (PBE) on a geometry-optimized Pm3Ni3Pt structure.

Output
The energy of formation from the pure elements is -0.524 eV per atom. Its symmetry is No. 176.

Cell: 8.9829 8.9829 4.1788 Å, 90.00 90.00 120.00°
Positions (direct):
Pm1 0.0938 0.6880 0.2500
Pm2 0.3120 0.4058 0.2500
Pm3 0.4058 0.0938 0.7500
Pm4 0.5942 0.9062 0.2500
Pm5 0.6880 0.5942 0.7500
Pm6 0.9062 0.3120 0.7500
Ni1 0.0343 0.8620 0.7500
Ni2 0.1380 0.1723 0.7500
Ni3 0.1723 0.0343 0.2500
Ni4 0.8277 0.9657 0.7500
Ni5 0.8620 0.8277 0.2500
Ni6 0.9657 0.1380 0.2500
Pt1 0.3333 0.6667 0.7500
Pt2 0.6667 0.3333 0.2500



No. 4
VASP calculation (PBE) on a geometry-optimized Pm2NiPt structure.

Output
The energy of formation from the pure elements is -0.667 eV per atom. Its symmetry is No. 123.

Cell: 5.0234 5.0234 3.5113 Å, 90.00 90.00 90.00°
Positions (direct):
Pm1 0.0000 0.5000 0.0000
Pm2 0.5000 0.0000 0.0000
Ni1 0.0000 0.0000 0.5000
Pt1 0.5000 0.5000 0.5000



No. 5
VASP calculation (PBE) on a geometry-optimized Pm3Ni4Pt4 structure.

Output
The energy of formation from the pure elements is -0.570 eV per atom. Its symmetry is No. 217.

Cell: 6.4851 6.4851 6.4851 Å, 109.47 109.47 109.47°
Positions (direct):
Pm1 0.0000 0.5000 0.5000
Pm2 0.5000 0.0000 0.5000
Pm3 0.5000 0.5000 0.0000
Ni1 0.0000 0.0000 0.2289
Ni2 0.0000 0.2289 0.0000
Ni3 0.2289 0.0000 0.0000
Ni4 0.7711 0.7711 0.7711
Pt1 0.0000 0.0000 0.5961
Pt2 0.0000 0.5961 0.0000
Pt3 0.4039 0.4039 0.4039
Pt4 0.5961 0.0000 0.0000



No. 6
VASP calculation (PBE) on a geometry-optimized Pm2Ni2Pt structure.

Output
The energy of formation from the pure elements is -0.606 eV per atom. Its symmetry is No. 71. For the energy above the most stable polymorph in this dataset, the calculation gives 0 meV per atom.

Cell: 5.3866 5.3866 5.3866 Å, 134.11 115.30 82.91°
Positions (direct):
Pm1 0.2146 0.2146 0.0000
Pm2 0.7854 0.7854 0.0000
Ni1 0.2085 0.5000 0.7085
Ni2 0.7915 0.5000 0.2915
Pt1 0.5000 0.0000 0.5000



No. 7
VASP calculation (PBE) on a geometry-optimized PmNiPt2 structure.

Output
The energy of formation from the pure elements is -0.809 eV per atom. Its symmetry is No. 166.

Cell: 8.9316 8.9316 8.9316 Å, 35.47 35.47 35.47°
Positions (direct):
Pm1 0.0000 0.0000 0.0000
Pm2 0.1401 0.1401 0.1401
Pm3 0.8599 0.8599 0.8599
Ni1 0.3330 0.3330 0.3330
Ni2 0.5000 0.5000 0.5000
Ni3 0.6670 0.6670 0.6670
Pt1 0.0817 0.5829 0.5829
Pt2 0.4171 0.4171 0.9183
Pt3 0.4171 0.9183 0.4171
Pt4 0.5829 0.0817 0.5829
Pt5 0.5829 0.5829 0.0817
Pt6 0.9183 0.4171 0.4171



No. 8
VASP calculation (PBE) on a geometry-optimized Pm7Ni2Pt2 structure.

Output
The energy of formation from the pure elements is -0.359 eV per atom. Its symmetry is No. 65.

Cell: 6.7500 6.7500 6.9312 Å, 90.00 90.00 111.16°
Positions (direct):
Pm1 0.0000 0.0000 0.0000
Pm2 0.0000 0.5000 0.2650
Pm3 0.0000 0.5000 0.7350
Pm4 0.5000 0.0000 0.2650
Pm5 0.5000 0.0000 0.7350
Pm6 0.5000 0.5000 0.2552
Pm7 0.5000 0.5000 0.7448
Ni1 0.2933 0.7067 0.0000
Ni2 0.7067 0.2933 0.0000
Pt1 0.1833 0.1833 0.5000
Pt2 0.8167 0.8167 0.5000